(1)
This record from the Alexandria database describes an optimized crystal structure of NdSmMgSn. The functional is PBE.

Calculated values
Total DFT energy (no corrections) = -4.206 eV/atom
Space-group type = F-43m
Formation enthalpy at 0 K = -1.74 eV per formula unit

```
data_NdSmMgSn
_space_group_name_H-M_alt 'P 1'
_space_group_IT_number 1
_space_group_name_Hall 'P 1'
_cell_length_a 5.422
_cell_length_b 5.422
_cell_length_c 5.422
_cell_angle_alpha 60.00
_cell_angle_beta 60.00
_cell_angle_gamma 60.00
loop_
_atom_site_label
_atom_site_fract_x
_atom_site_fract_y
_atom_site_fract_z
_atom_site_occupancy
Mg1 0.750 0.750 0.750 1
Nd1 0.500 0.500 0.500 1
Sn1 0.250 0.250 0.250 1
Sm1 0.000 0.000 0.000 1
```



(2)
This record from the Alexandria database describes an optimized crystal structure of Tb2Nd6Sm3Mg. The functional is PBE.

Calculated values
Total DFT energy (no corrections) = -4.447 eV/atom
Space-group type = C2/m
Formation enthalpy at 0 K = 0.26 eV per formula unit

```
data_Tb2Nd6Sm3Mg
_space_group_name_H-M_alt 'P 1'
_space_group_IT_number 1
_space_group_name_Hall 'P 1'
_cell_length_a 6.286
_cell_length_b 6.286
_cell_length_c 11.902
_cell_angle_alpha 95.07
_cell_angle_beta 95.07
_cell_angle_gamma 120.04
loop_
_atom_site_label
_atom_site_fract_x
_atom_site_fract_y
_atom_site_fract_z
_atom_site_occupancy
Tb1 0.333 0.667 0.000 1
Tb2 0.667 0.333 0.000 1
Nd1 0.919 0.587 0.754 1
Nd2 0.750 0.750 0.248 1
Nd3 0.081 0.413 0.246 1
Nd4 0.587 0.919 0.754 1
Nd5 0.250 0.250 0.752 1
Nd6 0.413 0.081 0.246 1
Sm1 0.167 0.833 0.500 1
Sm2 0.833 0.167 0.500 1
Sm3 0.500 0.500 0.500 1
Mg1 0.000 0.000 0.000 1
```



(3)
This record from the Alexandria database describes an optimized crystal structure of TbNd2Sm5Mg. The functional is PBE.

Calculated values
Total DFT energy (no corrections) = -4.283 eV/atom
Space-group type = Cmc2_1
Formation enthalpy at 0 K = 0.80 eV per formula unit

```
data_TbNd2Sm5Mg
_space_group_name_H-M_alt 'P 1'
_space_group_IT_number 1
_space_group_name_Hall 'P 1'
_cell_length_a 5.540
_cell_length_b 10.510
_cell_length_c 10.721
_cell_angle_alpha 90.00
_cell_angle_beta 90.00
_cell_angle_gamma 105.28
loop_
_atom_site_label
_atom_site_fract_x
_atom_site_fract_y
_atom_site_fract_z
_atom_site_occupancy
Tb1 0.798 0.596 0.508 1
Tb2 0.202 0.404 0.008 1
Nd1 0.885 0.770 0.798 1
Nd2 0.115 0.231 0.719 1
Nd3 0.115 0.230 0.298 1
Nd4 0.885 0.769 0.219 1
Sm1 0.380 0.761 0.008 1
Sm2 0.712 0.424 0.810 1
Sm3 0.500 0.000 0.758 1
Sm4 0.289 0.578 0.706 1
Sm5 0.986 0.971 0.508 1
Sm6 0.620 0.239 0.508 1
Sm7 0.288 0.576 0.310 1
Sm8 0.500 0.000 0.258 1
Sm9 0.711 0.422 0.206 1
Sm10 0.014 0.029 0.008 1
Mg1 0.595 0.190 0.007 1
Mg2 0.405 0.810 0.507 1
```



(4)
This record from the Alexandria database describes an optimized crystal structure of Tb4NdSm2Mg. The functional is PBE.

Calculated values
Total DFT energy (no corrections) = -4.268 eV/atom
Space-group type = Pmmm
Formation enthalpy at 0 K = 0.18 eV per formula unit

```
data_Tb4NdSm2Mg
_space_group_name_H-M_alt 'P 1'
_space_group_IT_number 1
_space_group_name_Hall 'P 1'
_cell_length_a 4.989
_cell_length_b 5.001
_cell_length_c 11.354
_cell_angle_alpha 63.91
_cell_angle_beta 90.00
_cell_angle_gamma 90.00
loop_
_atom_site_label
_atom_site_fract_x
_atom_site_fract_y
_atom_site_fract_z
_atom_site_occupancy
Tb1 0.000 0.754 0.746 1
Tb2 0.000 0.246 0.254 1
Tb3 0.500 0.746 0.254 1
Tb4 0.500 0.254 0.746 1
Nd1 0.500 0.500 0.000 1
Sm1 0.000 0.000 0.000 1
Sm2 0.500 0.000 0.500 1
Mg1 0.000 0.500 0.500 1
```



(5)
This record from the Alexandria database describes an optimized crystal structure of Tb2Nd2Sm2Mg. The functional is PBE.

Calculated values
Total DFT energy (no corrections) = -4.173 eV/atom
Space-group type = C2/m
Formation enthalpy at 0 K = 0.62 eV per formula unit

```
data_Tb2Nd2Sm2Mg
_space_group_name_H-M_alt 'P 1'
_space_group_IT_number 1
_space_group_name_Hall 'P 1'
_cell_length_a 3.572
_cell_length_b 6.168
_cell_length_c 11.786
_cell_angle_alpha 111.44
_cell_angle_beta 90.00
_cell_angle_gamma 106.83
loop_
_atom_site_label
_atom_site_fract_x
_atom_site_fract_y
_atom_site_fract_z
_atom_site_occupancy
Tb1 0.671 0.341 0.084 1
Tb2 0.329 0.659 0.916 1
Nd1 0.546 0.092 0.762 1
Nd2 0.454 0.908 0.238 1
Sm1 0.763 0.526 0.637 1
Sm2 0.237 0.474 0.363 1
Mg1 0.000 0.000 0.500 1
```



(6)
This record from the Alexandria database describes an optimized crystal structure of Tb2Nd6SmMg. The functional is PBE.

Calculated values
Total DFT energy (no corrections) = -4.304 eV/atom
Space-group type = C2/c
Formation enthalpy at 0 K = 1.14 eV per formula unit

```
data_Tb2Nd6SmMg
_space_group_name_H-M_alt 'P 1'
_space_group_IT_number 1
_space_group_name_Hall 'P 1'
_cell_length_a 9.264
_cell_length_b 9.068
_cell_length_c 9.068
_cell_angle_alpha 117.85
_cell_angle_beta 91.67
_cell_angle_gamma 91.67
loop_
_atom_site_label
_atom_site_fract_x
_atom_site_fract_y
_atom_site_fract_z
_atom_site_occupancy
Tb1 0.448 0.787 0.681 1
Tb2 0.052 0.319 0.213 1
Tb3 0.552 0.213 0.319 1
Tb4 0.948 0.681 0.787 1
Nd1 0.054 0.133 0.785 1
Nd2 0.446 0.215 0.867 1
Nd3 0.946 0.867 0.215 1
Nd4 0.554 0.785 0.133 1
Nd5 0.297 0.009 0.436 1
Nd6 0.203 0.564 0.991 1
Nd7 0.703 0.991 0.564 1
Nd8 0.797 0.436 0.009 1
Nd9 0.101 0.723 0.491 1
Nd10 0.399 0.509 0.277 1
Nd11 0.899 0.277 0.509 1
Nd12 0.601 0.491 0.723 1
Sm1 0.250 0.972 0.028 1
Sm2 0.750 0.028 0.972 1
Mg1 0.250 0.424 0.576 1
Mg2 0.750 0.576 0.424 1
```



Which of these has the lowest formation enthalpy at 0 K?
NdSmMgSn